Version a
First-principles (PBE) data for Y3ZrPb after structural relaxation, as listed in Alexandria.

CIF file:
```
data_Y3ZrPb
_cell_length_a 5.5215
_cell_length_b 5.5215
_cell_length_c 5.5215
_cell_angle_alpha 90.00
_cell_angle_beta 90.00
_cell_angle_gamma 90.00
_space_group_name_H-M_alt 'P m -3 m'
_space_group_IT_number 221
_space_group_name_Hall '-P 4 2 3'
loop_
_atom_site_label
_atom_site_type_symbol
_atom_site_fract_x
_atom_site_fract_y
_atom_site_fract_z
Y1 Y 0.0000 0.0000 0.5000
Zr1 Zr 0.0000 0.0000 0.0000
Pb1 Pb 0.5000 0.5000 0.5000
```

- volume (Å³ per cell) = 168.3
- magnetic moment (μB/cell) = 0.0

Version b
First-principles (PBE) data for Y3ZrPb after structural relaxation, as listed in Alexandria.

CIF file:
```
data_Y3ZrPb
_cell_length_a 5.7223
_cell_length_b 5.7223
_cell_length_c 5.7223
_cell_angle_alpha 90.00
_cell_angle_beta 90.00
_cell_angle_gamma 90.00
_space_group_name_H-M_alt 'P m -3 m'
_space_group_IT_number 221
_space_group_name_Hall '-P 4 2 3'
loop_
_atom_site_label
_atom_site_type_symbol
_atom_site_fract_x
_atom_site_fract_y
_atom_site_fract_z
Y1 Y 0.0000 0.0000 0.5000
Zr1 Zr 0.5000 0.5000 0.5000
Pb1 Pb 0.0000 0.0000 0.0000
```

- volume (Å³ per cell) = 187.4
- magnetic moment (μB/cell) = 4.2

Of them, version b has the lowest stability.

Version a
First-principles (PBE) data for ZnPb2 after structural relaxation, as listed in Alexandria.

CIF file:
```
data_ZnPb2
_cell_length_a 3.5208
_cell_length_b 3.5208
_cell_length_c 12.9089
_cell_angle_alpha 90.00
_cell_angle_beta 90.00
_cell_angle_gamma 90.00
_space_group_name_H-M_alt 'I 4/m m m'
_space_group_IT_number 139
_space_group_name_Hall '-I 4 2'
loop_
_atom_site_label
_atom_site_type_symbol
_atom_site_fract_x
_atom_site_fract_y
_atom_site_fract_z
Zn1 Zn 0.0000 0.0000 0.0000
Pb1 Pb 0.0000 0.0000 0.3547
```

- volume (Å³ per cell) = 160.0
- magnetic moment (μB/cell) = 0.0

Version b
First-principles (PBE) data for ZnPb2 after structural relaxation, as listed in Alexandria.

CIF file:
```
data_ZnPb2
_cell_length_a 3.5141
_cell_length_b 3.5141
_cell_length_c 7.6151
_cell_angle_alpha 90.00
_cell_angle_beta 90.00
_cell_angle_gamma 120.00
_space_group_name_H-M_alt 'P -3 m 1'
_space_group_IT_number 164
_space_group_name_Hall '-P 3 2"'
loop_
_atom_site_label
_atom_site_type_symbol
_atom_site_fract_x
_atom_site_fract_y
_atom_site_fract_z
Zn1 Zn 0.0000 0.0000 0.0000
Pb1 Pb 0.3333 0.6667 0.3071
```

- volume (Å³ per cell) = 81.4
- magnetic moment (μB/cell) = 0.0

Version c
First-principles (PBE) data for ZnPb2 after structural relaxation, as listed in Alexandria.

CIF file:
```
data_ZnPb2
_cell_length_a 4.4147
_cell_length_b 4.4147
_cell_length_c 5.0976
_cell_angle_alpha 90.00
_cell_angle_beta 90.00
_cell_angle_gamma 120.00
_space_group_name_H-M_alt 'P -3 m 1'
_space_group_IT_number 164
_space_group_name_Hall '-P 3 2"'
loop_
_atom_site_label
_atom_site_type_symbol
_atom_site_fract_x
_atom_site_fract_y
_atom_site_fract_z
Zn1 Zn 0.0000 0.0000 0.0000
Pb1 Pb 0.3333 0.6667 0.2618
```

- volume (Å³ per cell) = 86.0
- magnetic moment (μB/cell) = 0.0

Of them, version c has the lowest stability.

Version a
First-principles (PBE) data for ZnPb2 after structural relaxation, as listed in Alexandria.

CIF file:
```
data_ZnPb2
_cell_length_a 4.7647
_cell_length_b 5.1315
_cell_length_c 7.0193
_cell_angle_alpha 90.00
_cell_angle_beta 90.00
_cell_angle_gamma 90.00
_space_group_name_H-M_alt 'I m m m'
_space_group_IT_number 71
_space_group_name_Hall '-I 2 2'
loop_
_atom_site_label
_atom_site_type_symbol
_atom_site_fract_x
_atom_site_fract_y
_atom_site_fract_z
Zn1 Zn 0.0000 0.0000 0.0000
Pb1 Pb 0.0000 0.5000 0.2426
```

- volume (Å³ per cell) = 171.6
- magnetic moment (μB/cell) = 0.0

Version b
First-principles (PBE) data for ZnPb2 after structural relaxation, as listed in Alexandria.

CIF file:
```
data_ZnPb2
_cell_length_a 3.4396
_cell_length_b 13.1333
_cell_length_c 7.2776
_cell_angle_alpha 90.00
_cell_angle_beta 90.00
_cell_angle_gamma 90.00
_space_group_name_H-M_alt 'C m c 21'
_space_group_IT_number 36
loop_
_space_group_symop_operation_xyz
'x,y,z'
'-x,-y,z+1/2'
'-x,y,z'
'x,-y,z+1/2'
'x+1/2,y+1/2,z'
'-x+1/2,-y+1/2,z+1/2'
'-x+1/2,y+1/2,z'
'x+1/2,-y+1/2,z+1/2'
loop_
_atom_site_label
_atom_site_type_symbol
_atom_site_fract_x
_atom_site_fract_y
_atom_site_fract_z
Zn1 Zn 0.0000 0.1297 0.0000
Pb1 Pb 0.0000 0.1898 0.6171
Pb2 Pb 0.0000 0.4610 0.8048
```

- volume (Å³ per cell) = 328.8
- magnetic moment (μB/cell) = 0.0

Version c
First-principles (PBE) data for ZnPb2 after structural relaxation, as listed in Alexandria.

CIF file:
```
data_ZnPb2
_cell_length_a 5.4731
_cell_length_b 5.4731
_cell_length_c 3.2591
_cell_angle_alpha 90.00
_cell_angle_beta 90.00
_cell_angle_gamma 120.00
_space_group_name_H-M_alt 'P 6/m m m'
_space_group_IT_number 191
_space_group_name_Hall '-P 6 2'
loop_
_atom_site_label
_atom_site_type_symbol
_atom_site_fract_x
_atom_site_fract_y
_atom_site_fract_z
Zn1 Zn 0.0000 0.0000 0.0000
Pb1 Pb 0.3333 0.6667 0.5000
```

- volume (Å³ per cell) = 84.5
- magnetic moment (μB/cell) = 0.0

Version d
First-principles (PBE) data for ZnPb2 after structural relaxation, as listed in Alexandria.

CIF file:
```
data_ZnPb2
_cell_length_a 11.6575
_cell_length_b 3.4387
_cell_length_c 8.5602
_cell_angle_alpha 90.00
_cell_angle_beta 111.42
_cell_angle_gamma 90.00
_space_group_name_H-M_alt 'C 1 2/m 1'
_space_group_IT_number 12
loop_
_space_group_symop_operation_xyz
'x,y,z'
'-x,-y,-z'
'-x,y,-z'
'x,-y,z'
'x+1/2,y+1/2,z'
'-x+1/2,-y+1/2,-z'
'-x+1/2,y+1/2,-z'
'x+1/2,-y+1/2,z'
loop_
_atom_site_label
_atom_site_type_symbol
_atom_site_fract_x
_atom_site_fract_y
_atom_site_fract_z
Zn1 Zn 0.1982 0.0000 0.0700
Pb1 Pb 0.0170 0.5000 0.2065
Pb2 Pb 0.1627 0.0000 0.6032
```

- volume (Å³ per cell) = 319.4
- magnetic moment (μB/cell) = 0.0

Of them, version c has the lowest stability.